Material: Al2HgTe2Se2
Method: DFT, PBE-GGA
State: optimized geometry

## Properties
VASP energy in eV/atom: -3.54

Unit cell a=6.0463 b=6.0856 c=7.0460 alpha=114.12 beta=114.75 gamma=90.12
Sites, in units of the cell vectors:
1 Al 0.0000 0.0000 0.0000
2 Al 0.2246 0.7732 0.4986
3 Hg 0.4963 0.5229 0.9953
4 Te 0.3795 0.3836 0.2853
5 Te 0.6324 0.1194 0.7128
6 Se 0.0900 0.6556 0.7308
7 Se 0.8944 0.9188 0.2649

Material: Al2HgTe2Se2
Method: DFT, PBE-GGA
State: optimized geometry

## Properties
VASP energy in eV/atom: -3.54

Unit cell a=7.0669 b=7.0669 c=6.0259 alpha=114.13 beta=114.13 gamma=106.73
Sites, in units of the cell vectors:
1 Al 0.0000 0.0000 0.0000
2 Al 0.7707 0.2293 0.5000
3 Hg 0.2572 0.7428 0.5000
4 Te 0.4070 0.1649 0.0369
5 Te 0.8351 0.5930 0.9631
6 Se 0.1233 0.3256 0.4877
7 Se 0.6744 0.8767 0.5123

Material: TmAlHgSe3
Method: DFT, PBE-GGA
State: optimized geometry

## Properties
VASP energy in eV/atom: -4.26

Unit cell a=8.7585 b=8.7585 c=11.0699 alpha=90.00 beta=90.00 gamma=153.84
Sites, in units of the cell vectors:
1 Tm 0.0000 0.0000 0.0000
2 Tm 0.0000 0.0000 0.5000
3 Al 0.4532 0.5468 0.7500
4 Al 0.5468 0.4532 0.2500
5 Hg 0.2649 0.7351 0.2500
6 Hg 0.7351 0.2649 0.7500
7 Se 0.0461 0.9539 0.7500
8 Se 0.3886 0.6114 0.5612
9 Se 0.3886 0.6114 0.9388
10 Se 0.6114 0.3886 0.0612
11 Se 0.6114 0.3886 0.4388
12 Se 0.9539 0.0461 0.2500

Material: AlSi2Hg
Method: DFT, PBE-GGA
State: optimized geometry

## Properties
VASP energy in eV/atom: -3.19

Unit cell a=4.7063 b=4.7063 c=4.7063 alpha=60.00 beta=60.00 gamma=60.00
Sites, in units of the cell vectors:
1 Al 0.0000 0.0000 0.0000
2 Si 0.5000 0.5000 0.5000
3 Si 0.7500 0.7500 0.7500
4 Hg 0.2500 0.2500 0.2500

Material: Al2Si3Hg2
Method: DFT, PBE-GGA
State: optimized geometry

## Properties
VASP energy in eV/atom: -3.12

Unit cell a=9.4664 b=9.4664 c=9.4664 alpha=25.73 beta=25.73 gamma=25.73
Sites, in units of the cell vectors:
1 Al 0.0000 0.0000 0.0000
2 Al 0.4755 0.4755 0.4755
3 Si 0.1762 0.1762 0.1762
4 Si 0.3671 0.3671 0.3671
5 Si 0.8797 0.8797 0.8797
6 Hg 0.2722 0.2722 0.2722
7 Hg 0.7518 0.7518 0.7518

Material: SmAlHg
Method: DFT, PBE-GGA
State: optimized geometry

## Properties
VASP energy in eV/atom: -2.82

Unit cell a=4.9721 b=4.9721 c=4.9721 alpha=60.00 beta=60.00 gamma=60.00
Sites, in units of the cell vectors:
1 Sm 0.0000 0.0000 0.0000
2 Al 0.7500 0.7500 0.7500
3 Hg 0.2500 0.2500 0.2500

Q: The lowest VASP energy belongs to which entry?
A: TmAlHgSe3

Q: What is the VASP energy in the first record?
A: -3.54 eV/atom